Computed, not measured: crystalline Nd6Er2Tm3Sc at its relaxed geometry at the PBE level of DFT.

a = 6.205 Å, b = 6.205 Å, c = 11.676 Å
α = 95.07°, β = 95.07°, γ = 119.98°
Fractional coordinates of all 12 atoms:
Er  0.667  0.333  0.000
Er  0.333  0.667  0.000
Tm  0.167  0.833  0.500
Tm  0.500  0.500  0.500
Tm  0.833  0.167  0.500
Nd  0.587  0.918  0.752
Nd  0.413  0.082  0.248
Nd  0.082  0.413  0.248
Nd  0.918  0.587  0.752
Nd  0.248  0.248  0.752
Nd  0.752  0.752  0.248
Sc  0.000  0.000  0.000

Uncorrected energy = -4.764 eV/atom
Density of states at the Fermi level = 12.61 states/eV per cell
ΔE_f = 0.025 eV per atom
SG = C2/m (12)

***

Computed, not measured: crystalline Nd2Er3Tm6Sc at its relaxed geometry at the PBE level of DFT.

a = 6.065 Å, b = 6.065 Å, c = 11.631 Å
α = 94.98°, β = 94.98°, γ = 119.97°
Fractional coordinates of all 12 atoms:
Tm  0.084  0.414  0.251
Tm  0.247  0.247  0.748
Tm  0.916  0.586  0.749
Tm  0.586  0.916  0.749
Tm  0.753  0.753  0.252
Tm  0.414  0.084  0.251
Er  0.166  0.834  0.500
Er  0.834  0.166  0.500
Er  0.500  0.500  0.500
Nd  0.334  0.666  0.000
Nd  0.666  0.334  0.000
Sc  0.000  0.000  0.000

Uncorrected energy = -4.668 eV/atom
Density of states at the Fermi level = 16.36 states/eV per cell
ΔE_f = 0.030 eV per atom
SG = C2/m (12)

***

Computed, not measured: crystalline NdEr4Tm2Sc at its relaxed geometry at the PBE level of DFT.

a = 12.090 Å, b = 6.976 Å, c = 12.087 Å
α = 106.70°, β = 146.47°, γ = 89.96°
Fractional coordinates of all 16 atoms:
Er  0.250  0.250  0.999
Er  0.753  0.250  0.500
Er  0.247  0.750  0.500
Er  0.752  0.748  0.497
Er  0.750  0.750  0.001
Er  0.750  0.252  0.003
Er  0.248  0.252  0.503
Er  0.250  0.748  0.997
Tm  0.500  0.000  0.500
Tm  0.500  0.000  0.000
Tm  0.500  0.500  0.000
Tm  0.000  0.000  0.500
Nd  0.500  0.500  0.500
Nd  0.000  0.000  0.000
Sc  0.000  0.500  0.500
Sc  0.000  0.500  0.000

Uncorrected energy = -4.753 eV/atom
Density of states at the Fermi level = 22.01 states/eV per cell
ΔE_f = 0.034 eV per atom
SG = C2/m (12)

***

Q: What is the ΔE_f in the second record?
A: 0.030 eV per atom

***

Q: What is the formula in the third record?
A: NdEr4Tm2Sc

***

Q: Which of these has the lowest ΔE_f?
A: Nd6Er2Tm3Sc

***

Q: What is the formula in the third record?
A: NdEr4Tm2Sc